Entry 1:
TbSm2Ge3Ir4 after structural relaxation, computed with GGA-PBE.

abc: 4.184 4.184 11.271
angles: 90.00 90.00 90.00
Fractional coordinates of all 10 atoms:
Ir: 0.500 0.500 0.000
Sm: 0.000 0.500 0.772
Ge: 0.000 0.500 0.122
Ir: 0.000 0.500 0.339
Ge: 0.500 0.000 0.878
Sm: 0.500 0.000 0.228
Tb: 0.500 0.500 0.500
Ge: 0.000 0.000 0.500
Ir: 0.500 0.000 0.661
Ir: 0.000 0.000 0.000

Calculated values
Formation enthalpy at 0 K ... -0.781 eV per atom
Electronic total energy ... -7.12 eV/atom
Size of the total moment ... 0.00 μB per formula unit

=====

Entry 2:
Cs4GeS4 after structural relaxation, computed with GGA-PBE.

abc: 7.311 9.690 9.690
angles: 90.00 90.00 90.00
Fractional coordinates of all 18 atoms:
Cs: 0.655 0.000 0.723
Cs: 0.345 0.723 0.000
Cs: 0.845 0.500 0.223
S: 0.172 0.000 0.194
S: 0.172 0.000 0.806
S: 0.672 0.306 0.500
Cs: 0.845 0.500 0.777
Ge: 0.000 0.000 0.000
Cs: 0.345 0.277 0.000
Cs: 0.655 0.000 0.277
S: 0.328 0.500 0.694
Ge: 0.500 0.500 0.500
Cs: 0.155 0.777 0.500
S: 0.328 0.500 0.306
S: 0.828 0.194 0.000
S: 0.672 0.694 0.500
S: 0.828 0.806 0.000
Cs: 0.155 0.223 0.500

Calculated values
Formation energy (no corrections) ... -1.054 eV per atom
Electronic total energy ... -3.78 eV/atom
Size of the total moment ... 0.00 μB per formula unit

=====

Entry 3:
TaPt3N after structural relaxation, computed with GGA-PBE.

abc: 4.918 4.918 4.918
angles: 90.00 90.00 90.00
Each line ends with the local moment (μB).
Fractional coordinates of all 5 atoms:
Pt: 0.500 0.000 0.000  -0.04
Ta: 0.000 0.000 0.000  0.02
Pt: 0.000 0.000 0.500  -0.03
N: 0.500 0.500 0.500  1.73
Pt: 0.000 0.500 0.000  -0.06

Calculated values
Formation energy (no corrections) ... 2.002 eV per atom
Electronic total energy ... -5.66 eV/atom
Size of the total moment ... 2.34 μB per formula unit